Entry 1:
VASP calculation (PBE-GGA) on a relaxed LaZn3Ga3 crystal.

Calculated values
**Space-group type**: R-3m (166)
**Mass density**: 6.7 g cm⁻³
**Magnetic moment**: 0.0 μB/cell
**Relative energy among the computed polymorphs**: 0.35 eV per formula unit

Cell: 7.1023 7.1023 7.1023 Å, 62.98 62.98 62.98°
Last column: nearest neighbours and their distance in Å.
Fractional coordinates of all 14 atoms:
La 0.1268 0.1268 0.1268  6 Ga 3.14-3.47, 3 Zn 3.19
La 0.8732 0.8732 0.8732  6 Ga 3.14-3.47, 3 Zn 3.19
Zn 0.1899 0.5633 0.5633  4 Zn 2.62-2.77, 4 Ga 2.70-2.77
Zn 0.4367 0.4367 0.8101  4 Zn 2.62-2.77, 4 Ga 2.70-2.77
Zn 0.4367 0.8101 0.4367  4 Zn 2.62-2.77, 4 Ga 2.70-2.77
Zn 0.5633 0.1899 0.5633  4 Zn 2.62-2.77, 4 Ga 2.70-2.77
Zn 0.5633 0.5633 0.1899  4 Zn 2.62-2.77, 4 Ga 2.70-2.77
Zn 0.8101 0.4367 0.4367  4 Zn 2.62-2.77, 4 Ga 2.70-2.77
Ga 0.1788 0.1788 0.5616  4 Zn 2.70-2.77, 4 Ga 2.80-2.84
Ga 0.1788 0.5616 0.1788  4 Zn 2.70-2.77, 4 Ga 2.80-2.84
Ga 0.4384 0.8212 0.8212  4 Zn 2.70-2.77, 4 Ga 2.80-2.84
Ga 0.5616 0.1788 0.1788  4 Zn 2.70-2.77, 4 Ga 2.80-2.84
Ga 0.8212 0.4384 0.8212  4 Zn 2.70-2.77, 4 Ga 2.80-2.84
Ga 0.8212 0.8212 0.4384  4 Zn 2.70-2.77, 4 Ga 2.80-2.84

---

Entry 2:
VASP calculation (PBE-GGA) on a relaxed Na3Zr3NbSe8 crystal.

Calculated values
**Space-group type**: R-3m (166)
**Mass density**: 4.9 g cm⁻³
**Magnetic moment**: 0.0 μB/cell
**Formation energy from raw total energies**: -117 kJ per mole of atoms

Cell: 8.5528 8.5528 8.5528 Å, 52.09 52.09 52.09°
Last column: nearest neighbours and their distance in Å.
Fractional coordinates of all 15 atoms:
Na 0.0000 0.5000 0.5000  6 Se 2.96-2.98
Na 0.5000 0.0000 0.5000  6 Se 2.96-2.98
Na 0.5000 0.5000 0.0000  6 Se 2.96-2.98
Zr 0.0000 0.0000 0.5000  6 Se 2.73-2.74
Zr 0.0000 0.5000 0.0000  6 Se 2.73-2.74
Zr 0.5000 0.0000 0.0000  6 Se 2.73-2.74
Nb 0.5000 0.5000 0.5000  6 Se 2.69
Se 0.2421 0.2421 0.2421  3 Zr 2.74, 3 Na 2.96
Se 0.2451 0.7382 0.7382  1 Nb 2.69, 2 Zr 2.73, 2 Na 2.98
Se 0.2618 0.2618 0.7549  1 Nb 2.69, 2 Zr 2.73, 2 Na 2.98
Se 0.2618 0.7549 0.2618  1 Nb 2.69, 2 Zr 2.73, 2 Na 2.98
Se 0.7382 0.2451 0.7382  1 Nb 2.69, 2 Zr 2.73, 2 Na 2.98
Se 0.7382 0.7382 0.2451  1 Nb 2.69, 2 Zr 2.73, 2 Na 2.98
Se 0.7549 0.2618 0.2618  1 Nb 2.69, 2 Zr 2.73, 2 Na 2.98
Se 0.7579 0.7579 0.7579  3 Zr 2.74, 3 Na 2.96

---

Entry 3:
VASP calculation (PBE-GGA) on a relaxed AcHoEr6 crystal.

Calculated values
**Space-group type**: C2/m (12)
**Mass density**: 8.1 g cm⁻³
**Magnetic moment**: 0.0 μB/cell
**DFT total energy**: -4.0992 eV per atom

Cell: 5.9134 5.9134 8.8558 Å, 100.39 100.39 71.74°
Last column: nearest neighbours and their distance in Å.
Fractional coordinates of all 8 atoms:
Ac 0.0000 0.0000 0.0000  10 Er 3.50-3.78
Ho 0.5000 0.5000 0.5000  10 Er 3.40-3.62
Er 0.0427 0.5204 0.6999  4 Er 3.27-3.62, 2 Ho 3.40-3.45, 1 Ac 3.50
Er 0.3783 0.3783 0.0822  3 Er 3.01-3.27
Er 0.4796 0.9573 0.3001  4 Er 3.27-3.62, 2 Ho 3.40-3.45, 1 Ac 3.50
Er 0.5204 0.0427 0.6999  4 Er 3.27-3.62, 2 Ho 3.40-3.45, 1 Ac 3.50
Er 0.6217 0.6217 0.9178  3 Er 3.01-3.27
Er 0.9573 0.4796 0.3001  4 Er 3.27-3.62, 2 Ho 3.40-3.45, 1 Ac 3.50